# 1
Computed, not measured: Ti6ZnPt after structural relaxation at the PBE-GGA level of DFT.

```
data_Ti6ZnPt
_chemical_formula_sum 'Ti12 Zn2 Pt2'
_symmetry_space_group_name_H-M 'P 1'
_symmetry_Int_Tables_number 1
_symmetry_space_group_name_Hall 'P 1'
_cell_length_a 4.3710
_cell_length_b 4.3710
_cell_length_c 13.7041
_cell_angle_alpha 90.00
_cell_angle_beta 90.00
_cell_angle_gamma 90.00
loop_
_atom_site_label
_atom_site_type_symbol
_atom_site_fract_x
_atom_site_fract_y
_atom_site_fract_z
Ti1 Ti 0.0000 0.0000 0.2504
Ti2 Ti 0.0000 0.0000 0.7496
Ti3 Ti 0.0000 0.5000 0.1215
Ti4 Ti 0.0000 0.5000 0.3785
Ti5 Ti 0.0000 0.5000 0.6215
Ti6 Ti 0.0000 0.5000 0.8785
Ti7 Ti 0.5000 0.0000 0.1215
Ti8 Ti 0.5000 0.0000 0.3785
Ti9 Ti 0.5000 0.0000 0.6215
Ti10 Ti 0.5000 0.0000 0.8785
Ti11 Ti 0.5000 0.5000 0.2496
Ti12 Ti 0.5000 0.5000 0.7504
Zn1 Zn 0.0000 0.0000 0.0000
Zn2 Zn 0.5000 0.5000 0.5000
Pt1 Pt 0.0000 0.0000 0.5000
Pt2 Pt 0.5000 0.5000 0.0000
```

Calculated values
* formation enthalpy at 0 K: -28.4 kJ per mole of atoms
* calculated density: 6.947 Mg/m³
* SG: I4/mmm (139)
* excess energy over the best structure of this formula in the dataset: 0.003 eV/atom

# 2
Computed, not measured: Ti2ZnPt9 after structural relaxation at the PBE-GGA level of DFT.

```
data_Ti2ZnPt9
_chemical_formula_sum 'Ti2 Zn1 Pt9'
_symmetry_space_group_name_H-M 'P 1'
_symmetry_Int_Tables_number 1
_symmetry_space_group_name_Hall 'P 1'
_cell_length_a 3.9414
_cell_length_b 3.9414
_cell_length_c 11.8141
_cell_angle_alpha 90.00
_cell_angle_beta 90.00
_cell_angle_gamma 90.00
loop_
_atom_site_label
_atom_site_type_symbol
_atom_site_fract_x
_atom_site_fract_y
_atom_site_fract_z
Ti1 Ti 0.0000 0.0000 0.1725
Ti2 Ti 0.0000 0.0000 0.8275
Zn1 Zn 0.0000 0.0000 0.5000
Pt1 Pt 0.0000 0.5000 0.0000
Pt2 Pt 0.0000 0.5000 0.3304
Pt3 Pt 0.0000 0.5000 0.6696
Pt4 Pt 0.5000 0.0000 0.0000
Pt5 Pt 0.5000 0.0000 0.3304
Pt6 Pt 0.5000 0.0000 0.6696
Pt7 Pt 0.5000 0.5000 0.1658
Pt8 Pt 0.5000 0.5000 0.5000
Pt9 Pt 0.5000 0.5000 0.8342
```

Calculated values
* formation enthalpy at 0 K: -71.3 kJ per mole of atoms
* calculated density: 17.344 Mg/m³
* SG: P4/mmm (123)

# 3
Computed, not measured: Ti5Zn2Pt2 after structural relaxation at the PBE-GGA level of DFT.

```
data_Ti5Zn2Pt2
_chemical_formula_sum 'Ti10 Zn4 Pt4'
_symmetry_space_group_name_H-M 'P 1'
_symmetry_Int_Tables_number 1
_symmetry_space_group_name_Hall 'P 1'
_cell_length_a 7.6599
_cell_length_b 7.6599
_cell_length_c 6.2341
_cell_angle_alpha 90.00
_cell_angle_beta 90.00
_cell_angle_gamma 57.75
loop_
_atom_site_label
_atom_site_type_symbol
_atom_site_fract_x
_atom_site_fract_y
_atom_site_fract_z
Ti1 Ti 0.0000 0.0000 0.0000
Ti2 Ti 0.0481 0.6778 0.6607
Ti3 Ti 0.1778 0.5481 0.1607
Ti4 Ti 0.3222 0.9519 0.6607
Ti5 Ti 0.4519 0.8222 0.1607
Ti6 Ti 0.5000 0.5000 0.5000
Ti7 Ti 0.5481 0.1778 0.8393
Ti8 Ti 0.6778 0.0481 0.3393
Ti9 Ti 0.8222 0.4519 0.8393
Ti10 Ti 0.9519 0.3222 0.3393
Zn1 Zn 0.2098 0.2098 0.0000
Zn2 Zn 0.2902 0.2902 0.5000
Zn3 Zn 0.7098 0.7098 0.5000
Zn4 Zn 0.7902 0.7902 0.0000
Pt1 Pt 0.1366 0.8634 0.3642
Pt2 Pt 0.3634 0.6367 0.8642
Pt3 Pt 0.6367 0.3634 0.1358
Pt4 Pt 0.8634 0.1366 0.6358
```

Calculated values
* formation enthalpy at 0 K: -32.1 kJ per mole of atoms
* calculated density: 8.163 Mg/m³
* SG: Cmce (64)

# 4
Computed, not measured: Ti5Zn2Pt4 after structural relaxation at the PBE-GGA level of DFT.

```
data_Ti5Zn2Pt4
_chemical_formula_sum 'Ti5 Zn2 Pt4'
_symmetry_space_group_name_H-M 'P 1'
_symmetry_Int_Tables_number 1
_symmetry_space_group_name_Hall 'P 1'
_cell_length_a 9.0466
_cell_length_b 9.0466
_cell_length_c 5.0761
_cell_angle_alpha 104.67
_cell_angle_beta 104.67
_cell_angle_gamma 28.47
loop_
_atom_site_label
_atom_site_type_symbol
_atom_site_fract_x
_atom_site_fract_y
_atom_site_fract_z
Ti1 Ti 0.0000 0.0000 0.0000
Ti2 Ti 0.3019 0.3019 0.1589
Ti3 Ti 0.3820 0.3820 0.6882
Ti4 Ti 0.6180 0.6180 0.3118
Ti5 Ti 0.6981 0.6981 0.8411
Zn1 Zn 0.0789 0.0789 0.5703
Zn2 Zn 0.9211 0.9211 0.4297
Pt1 Pt 0.2327 0.2327 0.6493
Pt2 Pt 0.4557 0.4557 0.2070
Pt3 Pt 0.5443 0.5443 0.7930
Pt4 Pt 0.7673 0.7673 0.3507
```

Calculated values
* formation enthalpy at 0 K: -51.7 kJ per mole of atoms
* calculated density: 9.993 Mg/m³
* SG: C2/m (12)

Number 1: D(E_F) 9.6 states/eV/f.u.. Number 2: D(E_F) 8.7 states/eV/f.u.. Number 3: D(E_F) 11.1 states/eV/f.u.. Number 4: D(E_F) 8.3 states/eV/f.u..